{
  "formula": "Tb2MoS6",
  "functional": "PBE-GGA",
  "state": "relaxed",
  "lattice": [[-0.562, 3.760, 4.854], [-6.838, -1.937, 0.708], [2.371, -6.512, 5.083]],
  "species": ["Tb", "Tb", "Tb", "Tb", "S", "S", "S", "S", "S", "S", "S", "S", "S", "S", "S", "S", "Mo", "Mo"],
  "fractional_positions": [[0.032, 0.619, 0.246], [0.468, 0.119, 0.254], [0.532, 0.881, 0.746], [0.968, 0.381, 0.754], [0.652, 0.198, 0.942], [0.328, 0.831, 0.440], [0.152, 0.302, 0.442], [0.848, 0.698, 0.558], [0.619, 0.476, 0.266], [0.881, 0.976, 0.234], [0.381, 0.524, 0.734], [0.348, 0.802, 0.058], [0.672, 0.169, 0.560], [0.828, 0.669, 0.940], [0.119, 0.024, 0.766], [0.172, 0.331, 0.060], [0.000, 0.000, 0.500], [0.500, 0.500, 0.000]],
  "energy_ev_per_atom": -6.19,
  "raw_formation_energy_ev_per_atom": -1.21
}

---

{
  "formula": "NdGa",
  "functional": "PBE-GGA",
  "state": "relaxed",
  "lattice": [[6.080, 0.014, 0.000], [-4.427, 4.168, 0.000], [0.000, 0.000, 4.170]],
  "species": ["Nd", "Nd", "Ga", "Ga"],
  "fractional_positions": [[0.140, 0.860, 0.250], [0.860, 0.140, 0.750], [0.572, 0.428, 0.750], [0.428, 0.572, 0.250]],
  "energy_ev_per_atom": -4.49
}

---

{
  "formula": "TbY2Fe9",
  "functional": "PBE-GGA",
  "state": "relaxed",
  "lattice": [[4.896, 0.000, 1.457], [2.231, 4.358, 1.457], [0.105, 0.064, 8.603]],
  "species": ["Fe", "Fe", "Fe", "Fe", "Fe", "Fe", "Fe", "Fe", "Fe", "Tb", "Y", "Y"],
  "fractional_positions": [[0.419, 0.918, 0.243], [0.500, 0.500, 0.500], [0.333, 0.333, 0.002], [0.082, 0.581, 0.757], [0.419, 0.419, 0.243], [0.581, 0.581, 0.757], [0.918, 0.419, 0.243], [0.581, 0.082, 0.757], [0.667, 0.667, 0.998], [0.000, 0.000, 0.000], [0.858, 0.858, 0.426], [0.142, 0.142, 0.574]],
  "energy_ev_per_atom": -7.87
}

---

{
  "formula": "Ac4TlTe2",
  "functional": "PBE-GGA",
  "state": "relaxed",
  "lattice": [[-0.366, 2.438, -3.866], [-6.882, 0.510, 3.691], [5.287, 13.471, 7.996]],
  "species": ["Te", "Te", "Te", "Te", "Tl", "Tl", "Ac", "Ac", "Ac", "Ac", "Ac", "Ac", "Ac", "Ac"],
  "fractional_positions": [[0.146, 0.292, 0.063], [0.854, 0.708, 0.563], [0.854, 0.708, 0.937], [0.146, 0.292, 0.437], [0.597, 0.194, 0.750], [0.403, 0.806, 0.250], [0.931, 0.862, 0.750], [0.791, 0.582, 0.370], [0.209, 0.418, 0.630], [0.500, 0.000, 0.500], [0.791, 0.582, 0.130], [0.069, 0.138, 0.250], [0.500, 0.000, 0.000], [0.209, 0.418, 0.870]],
  "energy_ev_per_atom": -4.47,
  "raw_formation_energy_ev_per_atom": -0.89
}

---

{
  "formula": "Pm2MgAs3Rh4",
  "functional": "PBE-GGA",
  "state": "relaxed",
  "lattice": [[-1.328, -2.897, 2.572], [3.797, -1.514, 0.256], [2.070, 6.633, 8.538]],
  "species": ["As", "As", "As", "Pm", "Pm", "Rh", "Rh", "Rh", "Rh", "Mg"],
  "fractional_positions": [[0.500, 0.000, 0.868], [0.000, 0.500, 0.132], [0.000, 0.000, 0.500], [0.500, 0.000, 0.243], [0.000, 0.500, 0.757], [0.000, 0.000, 0.000], [0.000, 0.500, 0.350], [0.500, 0.500, 0.000], [0.500, 0.000, 0.650], [0.500, 0.500, 0.500]],
  "energy_ev_per_atom": -6.34
}

---

{
  "formula": "Rb2MgAgH6",
  "functional": "PBE-GGA",
  "state": "relaxed",
  "lattice": [[-4.276, -3.496, 0.865], [1.312, -0.262, 5.428], [-4.338, 1.829, 4.017]],
  "species": ["Rb", "Rb", "H", "H", "H", "H", "H", "H", "Mg", "Ag"],
  "fractional_positions": [[0.250, 0.750, 0.500], [0.750, 0.250, 0.500], [0.198, 0.198, 0.604], [0.802, 0.802, 0.396], [0.271, 0.729, 0.000], [0.729, 0.729, 0.000], [0.729, 0.271, 0.000], [0.271, 0.271, 0.000], [0.000, 0.000, 0.000], [0.500, 0.500, 0.000]],
  "energy_ev_per_atom": -2.69
}

---

{
  "formula": "AcPrHo5",
  "functional": "PBE-GGA",
  "state": "relaxed",
  "lattice": [[6.446, 0.339, -1.655], [-1.404, 6.301, -1.655], [-0.363, -0.478, 11.884]],
  "species": ["Pr", "Pr", "Ho", "Ho", "Ho", "Ho", "Ho", "Ho", "Ho", "Ho", "Ho", "Ho", "Ac", "Ac"],
  "fractional_positions": [[0.516, 0.484, 0.250], [0.484, 0.516, 0.750], [0.471, 0.764, 0.535], [0.037, 0.385, 0.334], [0.764, 0.471, 0.035], [0.825, 0.175, 0.750], [0.615, 0.963, 0.166], [0.963, 0.615, 0.666], [0.529, 0.236, 0.465], [0.236, 0.529, 0.965], [0.385, 0.037, 0.834], [0.175, 0.825, 0.250], [0.000, 0.000, 0.000], [0.000, 0.000, 0.500]],
  "energy_ev_per_atom": -4.44
}

---

{
  "formula": "Sc2CuTcH",
  "functional": "PBE-GGA",
  "state": "relaxed",
  "lattice": [[-3.987, 0.577, -2.195], [-1.322, -4.198, 1.297], [-1.380, 1.317, 2.854]],
  "species": ["H", "Sc", "Sc", "Cu", "Tc"],
  "fractional_positions": [[0.000, 0.000, 0.000], [0.000, 0.500, 0.000], [0.500, 0.000, 0.000], [0.500, 0.500, 0.500], [0.000, 0.000, 0.500]],
  "energy_ev_per_atom": -6.39
}

---

{
  "formula": "InAs3S",
  "functional": "PBE-GGA",
  "state": "relaxed",
  "lattice": [[4.875, 0.000, 0.000], [0.000, 4.875, 0.000], [0.000, 0.000, 4.875]],
  "species": ["In", "As", "As", "As", "S"],
  "fractional_positions": [[0.500, 0.500, 0.500], [0.000, 0.500, 0.000], [0.000, 0.000, 0.500], [0.500, 0.000, 0.000], [0.000, 0.000, 0.000]],
  "energy_ev_per_atom": -3.59,
  "e_above_lowest_polymorph_ev_per_fu": 0.00,
  "raw_formation_energy_ev_per_atom": 0.57
}

---

{
  "formula": "Zr2ScCo",
  "functional": "PBE-GGA",
  "state": "relaxed",
  "lattice": [[-1.568, -2.917, 0.673], [-0.126, -1.158, 3.172], [-7.868, 2.855, 2.531]],
  "species": ["Zr", "Zr", "Sc", "Co"],
  "fractional_positions": [[0.268, 0.268, 0.195], [0.065, 0.065, 0.805], [0.500, 0.500, 0.499], [0.666, 0.666, 0.001]],
  "energy_ev_per_atom": -7.60,
  "e_above_lowest_polymorph_ev_per_fu": 0.92
}

---

{
  "formula": "Na3YPb12",
  "functional": "PBE-GGA",
  "state": "relaxed",
  "lattice": [[4.852, 0.000, 0.000], [0.000, 4.852, 0.000], [0.000, 0.000, 20.130]],
  "species": ["Pb", "Pb", "Pb", "Pb", "Pb", "Pb", "Pb", "Pb", "Pb", "Pb", "Pb", "Pb", "Na", "Na", "Na", "Y"],
  "fractional_positions": [[0.000, 0.500, 0.375], [0.500, 0.500, 0.000], [0.500, 0.500, 0.500], [0.500, 0.500, 0.748], [0.000, 0.500, 0.875], [0.500, 0.500, 0.252], [0.000, 0.500, 0.625], [0.500, 0.000, 0.625], [0.000, 0.500, 0.125], [0.500, 0.000, 0.375], [0.500, 0.000, 0.875], [0.500, 0.000, 0.125], [0.000, 0.000, 0.751], [0.000, 0.000, 0.500], [0.000, 0.000, 0.249], [0.000, 0.000, 0.000]],
  "energy_ev_per_atom": -3.59
}

---

{
  "formula": "CaTiVRh2",
  "functional": "PBE-GGA",
  "state": "relaxed",
  "lattice": [[4.646, 0.000, 0.000], [0.000, 4.478, 0.000], [0.000, 0.000, 4.646]],
  "species": ["Ca", "Ti", "Rh", "Rh", "V"],
  "fractional_positions": [[0.500, 0.500, 0.500], [0.000, 0.500, 0.000], [0.000, 0.000, 0.500], [0.500, 0.000, 0.000], [0.000, 0.000, 0.000]],
  "energy_ev_per_atom": -6.60
}